No. 1
Entry from Alexandria via LeMat-Bulk: an optimized crystal structure of GaGeTe2 (PBE).

Cell lengths 3.276, 3.276, 34.072 Å; angles 90.00, 90.00, 120.00 degrees
Positions (direct):
Ga  0.000  0.000  0.000
Ga  0.333  0.667  0.667
Ga  0.667  0.333  0.333
Ge  0.000  0.000  0.500
Ge  0.333  0.667  0.167
Ge  0.667  0.333  0.833
Te  0.000  0.000  0.413
Te  0.000  0.000  0.587
Te  0.333  0.667  0.080
Te  0.333  0.667  0.253
Te  0.667  0.333  0.747
Te  0.667  0.333  0.920

The energy is -3.24 eV per atom. The value obtained for the energy relative to the elements, uncorrected is 0.2437 eV/atom. As for the energy above the most stable polymorph in this dataset: 376 meV/atom.



No. 2
Entry from Alexandria via LeMat-Bulk: an optimized crystal structure of PmPd3Rh4O12 (PBE).

Cell lengths 6.624, 6.624, 6.624 Å; angles 109.47, 109.47, 109.47 degrees
Positions (direct):
Pm  0.000  0.000  0.000
Pd  0.000  0.500  0.500
Pd  0.500  0.000  0.500
Pd  0.500  0.500  0.000
Rh  0.000  0.000  0.500
Rh  0.000  0.500  0.000
Rh  0.500  0.000  0.000
Rh  0.500  0.500  0.500
O  0.127  0.297  0.830
O  0.170  0.467  0.297
O  0.170  0.873  0.703
O  0.297  0.170  0.467
O  0.297  0.830  0.127
O  0.467  0.297  0.170
O  0.533  0.703  0.830
O  0.703  0.170  0.873
O  0.703  0.830  0.533
O  0.830  0.127  0.297
O  0.830  0.533  0.703
O  0.873  0.703  0.170

The energy is -6.41 eV per atom. The value obtained for the energy relative to the elements, uncorrected is -0.9512 eV/atom.



No. 3
Entry from Alexandria via LeMat-Bulk: an optimized crystal structure of ScH2Rh (PBE).

Cell lengths 4.277, 4.277, 9.054 Å; angles 90.00, 90.00, 90.00 degrees
Positions (direct):
Sc  0.000  0.000  0.000
Sc  0.000  0.500  0.250
Sc  0.500  0.000  0.750
Sc  0.500  0.500  0.500
H  0.196  0.250  0.625
H  0.250  0.696  0.875
H  0.250  0.804  0.375
H  0.304  0.250  0.125
H  0.696  0.750  0.125
H  0.750  0.196  0.375
H  0.750  0.304  0.875
H  0.804  0.750  0.625
Rh  0.000  0.000  0.500
Rh  0.000  0.500  0.750
Rh  0.500  0.000  0.250
Rh  0.500  0.500  0.000

The energy is -5.61 eV per atom. As for the energy above the most stable polymorph in this dataset: 69 meV/atom.



No. 4
Entry from Alexandria via LeMat-Bulk: an optimized crystal structure of Na2HS2 (PBE).

Cell lengths 10.177, 10.177, 5.751 Å; angles 90.00, 90.00, 161.73 degrees
Positions (direct):
Na  0.057  0.943  0.500
Na  0.199  0.801  0.145
Na  0.801  0.199  0.645
Na  0.943  0.057  0.000
H  0.398  0.602  0.411
H  0.602  0.398  0.911
S  0.184  0.816  0.645
S  0.443  0.557  0.592
S  0.557  0.443  0.092
S  0.816  0.184  0.145

The energy is -3.39 eV per atom.



Question: energy of number 2 (PmPd3Rh4O12)?
Answer: -6.41 eV per atom